The following is a PBE calculation of a relaxed LiCa2Hg2 crystal, from the Alexandria database.

Properties
For the total energy, the calculation gives -1.721 eV/atom. The calculated formation energy is -0.42 eV/atom. As for the energy relative to the lowest polymorph listed for this composition: 0.08 eV/f.u. As for the crystal system: tetragonal.

a = 7.9640 Å, b = 7.9640 Å, c = 4.4011 Å
α = 90.00°, β = 90.00°, γ = 90.00°
With the nearest neighbours (Å) after each atom.
Space group P4/mbm (No. 127)
Inequivalent atoms, fractional coordinates:
Li 0.0000 0.0000 0.0000  4 Hg 3.08
Ca 0.1636 0.3364 0.5000  6 Hg 3.12-3.27
Hg 0.1398 0.6398 0.0000  2 Li 3.08, 6 Ca 3.12-3.27, 1 Hg 3.15

=====

The following is a PBE calculation of a relaxed CrRe2Ru crystal, from the Alexandria database.

Properties
For the total energy, the calculation gives -10.776 eV/atom. The calculated formation energy is 0.17 eV/atom. As for the energy relative to the lowest polymorph listed for this composition: 0.30 eV/f.u. As for the crystal system: trigonal.

a = 2.7159 Å, b = 2.7159 Å, c = 26.5410 Å
α = 90.00°, β = 90.00°, γ = 120.00°
With the nearest neighbours (Å) after each atom.
Space group R-3m (No. 166, hexagonal axes)
Inequivalent atoms, fractional coordinates:
Cr 0.0000 0.0000 0.0000  6 Re 2.66, 6 Cr 2.72
Re 0.0000 0.0000 0.2523  3 Cr 2.66, 6 Re 2.72, 3 Ru 2.76
Ru 0.0000 0.0000 0.5000  6 Ru 2.72, 6 Re 2.76

=====

The following is a PBE calculation of a relaxed SmPu2As3 crystal, from the Alexandria database.

Properties
For the total energy, the calculation gives -9.076 eV/atom. The calculated formation energy is -1.19 eV/atom. As for the crystal system: orthorhombic.

a = 4.1638 Å, b = 5.8809 Å, c = 12.4674 Å
α = 90.00°, β = 90.00°, γ = 90.00°
With the nearest neighbours (Å) after each atom.
Space group Immm (No. 71)
Inequivalent atoms, fractional coordinates:
Sm 0.0000 0.0000 0.0000  6 As 2.94-2.99
Pu 0.0000 0.0000 0.3348  6 As 2.91-2.94
As 0.0000 0.5000 0.0000  4 Pu 2.93, 2 Sm 2.94
As 0.0000 0.5000 0.3282  4 Pu 2.91-2.94, 2 Sm 2.99

=====

The following is a PBE calculation of a relaxed YNi2W crystal, from the Alexandria database.

Properties
For the total energy, the calculation gives -7.500 eV/atom. The calculated formation energy is 0.24 eV/atom. As for the energy relative to the lowest polymorph listed for this composition: 1.25 eV/f.u. As for the crystal system: orthorhombic.

a = 2.8560 Å, b = 4.5484 Å, c = 9.7691 Å
α = 90.00°, β = 90.00°, γ = 90.00°
With the nearest neighbours (Å) after each atom.
Space group Imm2 (No. 44)
Inequivalent atoms, fractional coordinates:
Y 0.0000 0.0000 0.0000  4 Ni 2.69, 2 Y 2.86
Ni 0.0000 0.0000 0.4873  2 Ni 2.54, 2 W 2.66, 4 Y 2.69
Ni 0.0000 0.5000 0.7723  2 Ni 2.54, 4 W 2.74
W 0.0000 0.5000 0.2165  6 Ni 2.66-2.74, 2 W 2.86

=====

The following is a PBE calculation of a relaxed Sr3Ac2NpN6 crystal, from the Alexandria database.

Properties
For the total energy, the calculation gives -7.348 eV/atom. As for the uncorrected formation energy: -1001 meV/atom. As for the crystal system: monoclinic.

a = 6.5147 Å, b = 11.3580 Å, c = 6.4430 Å
α = 90.00°, β = 109.58°, γ = 90.00°
With the nearest neighbours (Å) after each atom.
Space group C2/m (No. 12)
Inequivalent atoms, fractional coordinates:
Sr 0.0000 0.0000 0.0000  4 N 2.69
Sr 0.0000 0.3445 0.0000  4 N 2.63-2.67
Ac 0.0000 0.1674 0.5000  6 N 2.67-2.69
Np 0.0000 0.5000 0.5000  6 N 2.24-2.27
N 0.2105 0.3593 0.7098  1 Np 2.24
N 0.2198 0.5000 0.2917  1 Np 2.27

=====

The following is a PBE calculation of a relaxed LaWAu2 crystal, from the Alexandria database.

Properties
For the total energy, the calculation gives -5.828 eV/atom. The calculated formation energy is 0.28 eV/atom. As for the energy relative to the lowest polymorph listed for this composition: 0.59 eV/f.u. As for the crystal system: cubic.

a = 7.0773 Å, b = 7.0773 Å, c = 7.0773 Å
α = 90.00°, β = 90.00°, γ = 90.00°
With the nearest neighbours (Å) after each atom.
Space group Fm-3m (No. 225)
Inequivalent atoms, fractional coordinates:
La 0.0000 0.0000 0.0000  8 Au 3.06
W 0.0000 0.0000 0.5000  8 Au 3.06
Au 0.2500 0.2500 0.2500  4 La 3.06, 4 W 3.06

=====

The following is a PBE calculation of a relaxed TcBPb2C crystal, from the Alexandria database.

Properties
For the total energy, the calculation gives -4.896 eV/atom. The calculated formation energy is 1.84 eV/atom. As for the crystal system: tetragonal.

a = 4.9673 Å, b = 4.9673 Å, c = 3.9840 Å
α = 90.00°, β = 90.00°, γ = 90.00°
With the nearest neighbours (Å) after each atom.
Space group P4/mmm (No. 123)
Inequivalent atoms, fractional coordinates:
Tc 0.0000 0.0000 0.0000  2 B 1.99
B 0.0000 0.0000 0.5000  2 Tc 1.99
Pb 0.0000 0.5000 0.5000  2 B 2.48
C 0.5000 0.5000 0.0000  8 Pb 3.18, 4 Tc 3.51

=====

The following is a PBE calculation of a relaxed CsThAg2Cl8 crystal, from the Alexandria database.

Properties
For the total energy, the calculation gives -3.783 eV/atom. As for the uncorrected formation energy: -1388 meV/atom. As for the crystal system: triclinic.

a = 6.5408 Å, b = 7.0814 Å, c = 9.8247 Å
α = 74.66°, β = 71.61°, γ = 89.85°
With the nearest neighbours (Å) after each atom.
Space group P-1 (No. 2)
Inequivalent atoms, fractional coordinates:
Cs 0.0000 0.0000 0.0000  8 Cl 3.52-3.92
Th 0.0000 0.0000 0.5000  6 Cl 2.67-2.73
Ag 0.4663 0.3747 0.1874  3 Cl 2.45-2.59
Cl 0.2128 0.4970 0.0326  2 Ag 2.45-2.59
Cl 0.2173 0.3544 0.4455  1 Ag 2.51, 1 Th 2.73
Cl 0.2388 0.8373 0.6691  1 Th 2.67, 1 Ag 2.92
Cl 0.2948 0.9505 0.2502  1 Th 2.71

=====

The following is a PBE calculation of a relaxed MnTl2I2Br4 crystal, from the Alexandria database.

Properties
For the total energy, the calculation gives -3.239 eV/atom. As for the uncorrected formation energy: -606 meV/atom. As for the crystal system: tetragonal.

a = 7.4359 Å, b = 7.4359 Å, c = 10.9962 Å
α = 90.00°, β = 90.00°, γ = 90.00°
With the nearest neighbours (Å) after each atom.
Space group I4/mmm (No. 139)
Inequivalent atoms, fractional coordinates:
Mn 0.0000 0.0000 0.0000  4 Br 2.45, 2 I 2.71
Tl 0.0000 0.5000 0.2500  4 I 3.72, 8 Br 3.81
I 0.0000 0.0000 0.2467  1 Mn 2.71
Br 0.2326 0.2326 0.0000  1 Mn 2.45

=====

The following is a PBE calculation of a relaxed BaCdAs2Ir crystal, from the Alexandria database.

Properties
For the total energy, the calculation gives -3.129 eV/atom. The calculated formation energy is 1.07 eV/atom. As for the crystal system: tetragonal.

a = 5.0346 Å, b = 5.0346 Å, c = 6.4191 Å
α = 90.00°, β = 90.00°, γ = 90.00°
With the nearest neighbours (Å) after each atom.
Space group P4/mmm (No. 123)
Inequivalent atoms, fractional coordinates:
Ba 0.0000 0.0000 0.0000  2 Cd 3.21, 4 Ir 3.56
Cd 0.0000 0.0000 0.5000  4 As 2.52
As 0.0000 0.5000 0.5000  2 Cd 2.52
Ir 0.5000 0.5000 0.0000  4 Ba 3.56

=====

The following is a PBE calculation of a relaxed CaVZn3 crystal, from the Alexandria database.

Properties
For the total energy, the calculation gives -2.663 eV/atom. The calculated formation energy is 0.33 eV/atom. As for the energy relative to the lowest polymorph listed for this composition: 0.00 eV/f.u. As for the crystal system: cubic.

a = 4.8874 Å, b = 4.8874 Å, c = 4.8874 Å
α = 90.00°, β = 90.00°, γ = 90.00°
With the nearest neighbours (Å) after each atom.
Space group Pm-3m (No. 221)
Inequivalent atoms, fractional coordinates:
Ca 0.0000 0.0000 0.0000  12 Zn 3.46
V 0.5000 0.5000 0.5000  6 Zn 2.44
Zn 0.0000 0.5000 0.5000  2 V 2.44

=====

The following is a PBE calculation of a relaxed ScBiAs2O crystal, from the Alexandria database.

Properties
For the total energy, the calculation gives -4.769 eV/atom. As for the uncorrected formation energy: 125 meV/atom. As for the crystal system: tetragonal.

a = 5.4004 Å, b = 5.4004 Å, c = 4.1737 Å
α = 90.00°, β = 90.00°, γ = 90.00°
With the nearest neighbours (Å) after each atom.
Space group P4/mmm (No. 123)
Inequivalent atoms, fractional coordinates:
Sc 0.0000 0.0000 0.0000  8 As 3.41, 4 O 3.82
Bi 0.5000 0.5000 0.5000  2 O 2.09
As 0.0000 0.5000 0.5000  2 Bi 2.70
O 0.5000 0.5000 0.0000  2 Bi 2.09

=====

The following is a PBE calculation of a relaxed KInHgPb crystal, from the Alexandria database.

Properties
For the total energy, the calculation gives -2.050 eV/atom. The calculated formation energy is -0.09 eV/atom. As for the energy relative to the lowest polymorph listed for this composition: 0.15 eV/f.u. As for the crystal system: cubic.

a = 7.8696 Å, b = 7.8696 Å, c = 7.8696 Å
α = 90.00°, β = 90.00°, γ = 90.00°
With the nearest neighbours (Å) after each atom.
Space group F-43m (No. 216)
Inequivalent atoms, fractional coordinates:
K 0.0000 0.0000 0.0000  4 Hg 3.41, 4 In 3.41
In 0.2500 0.2500 0.7500  4 Pb 3.41, 4 K 3.41
Hg 0.2500 0.2500 0.2500  4 Pb 3.41, 4 K 3.41
Pb 0.0000 0.0000 0.5000  4 Hg 3.41, 4 In 3.41